## one
Computed, not measured: crystalline RbHfAgSe2S at its relaxed geometry at the PBE-GGA level of DFT.

Unit cell a=7.941 b=7.941 c=10.248 alpha=90.00 beta=90.00 gamma=151.07
Atoms (fractional coordinates):
Rb1 0.243 0.757 0.750
Rb2 0.757 0.243 0.250
Hf1 0.500 0.500 0.000
Hf2 0.500 0.500 0.500
Ag1 0.045 0.955 0.250
Ag2 0.955 0.045 0.750
Se1 0.121 0.879 0.028
Se2 0.121 0.879 0.472
Se3 0.879 0.121 0.528
Se4 0.879 0.121 0.972
S1 0.444 0.556 0.250
S2 0.556 0.444 0.750

Computed properties:
Total magnetic moment (μB/f.u.): 0.0
Symmetry: No. 63

## two
Computed, not measured: crystalline RbHfAgSe2S at its relaxed geometry at the PBE-GGA level of DFT.

Unit cell a=8.590 b=3.926 c=10.431 alpha=90.00 beta=112.28 gamma=90.00
Atoms (fractional coordinates):
Rb1 0.242 0.250 0.279
Rb2 0.758 0.750 0.721
Hf1 0.311 0.750 0.840
Hf2 0.689 0.250 0.160
Ag1 0.070 0.250 0.605
Ag2 0.930 0.750 0.395
Se1 0.271 0.750 0.575
Se2 0.451 0.750 0.124
Se3 0.549 0.250 0.876
Se4 0.729 0.250 0.425
S1 0.125 0.250 0.859
S2 0.875 0.750 0.141

Computed properties:
Total magnetic moment (μB/f.u.): 0.0
Symmetry: No. 11

## three
Computed, not measured: crystalline RbHfAgSe2S at its relaxed geometry at the PBE-GGA level of DFT.

Unit cell a=8.667 b=3.978 c=10.077 alpha=90.00 beta=111.51 gamma=90.00
Atoms (fractional coordinates):
Rb1 0.246 0.250 0.206
Rb2 0.754 0.750 0.794
Hf1 0.189 0.750 0.663
Hf2 0.811 0.250 0.337
Ag1 0.424 0.250 0.895
Ag2 0.576 0.750 0.105
Se1 0.039 0.750 0.367
Se2 0.386 0.250 0.626
Se3 0.614 0.750 0.374
Se4 0.961 0.250 0.633
S1 0.245 0.750 0.924
S2 0.755 0.250 0.076

Computed properties:
Total magnetic moment (μB/f.u.): 0.0
Symmetry: No. 11

Most favorable first, least favorable last: two, three, one